A PBEsol-optimized structure of Rb3HoCl6, computed with meta-GGA SCAN.

Cell: 7.9528 7.9528 7.9528 Å, 60.00 60.00 60.00°
Last column: nearest neighbours and their distance in Å.
Positions (direct):
Rb 0.0000 0.0000 0.0000  6 Cl 3.04
Rb 0.2500 0.2500 0.2500  12 Cl 3.98
Rb 0.7500 0.7500 0.7500  12 Cl 3.98
Ho 0.5000 0.5000 0.5000  6 Cl 2.59
Cl 0.2701 0.2701 0.7299  1 Ho 2.59
Cl 0.2701 0.7299 0.2701  1 Ho 2.59
Cl 0.2701 0.7299 0.7299  1 Ho 2.59
Cl 0.7299 0.2701 0.2701  1 Ho 2.59
Cl 0.7299 0.2701 0.7299  1 Ho 2.59
Cl 0.7299 0.7299 0.2701  1 Ho 2.59

VASP energy	-18.2180	eV per atom
raw formation energy	-2.31	eV per atom
DOS at the Fermi energy	0.0000	states/eV per atom
symmetry	Fm-3m, No. 225
size of the total moment	0.00	μB per formula unit

=====

A PBEsol-optimized structure of Zr4CoNi, computed with meta-GGA SCAN.

Cell: 6.3425 6.3425 5.2495 Å, 90.00 90.00 90.00°
Last column: nearest neighbours and their distance in Å.
Positions (direct):
Zr 0.1659 0.3341 0.2500  2 Co 2.71, 2 Ni 2.71, 3 Zr 2.98-3.03
Zr 0.1659 0.6659 0.7500  2 Co 2.71, 2 Ni 2.71, 3 Zr 2.98-3.03
Zr 0.3341 0.1659 0.7500  2 Co 2.71, 2 Ni 2.71, 3 Zr 2.98-3.03
Zr 0.3341 0.8341 0.2500  2 Co 2.71, 2 Ni 2.71, 3 Zr 2.98-3.03
Zr 0.6659 0.1659 0.2500  2 Co 2.71, 2 Ni 2.71, 3 Zr 2.98-3.03
Zr 0.6659 0.8341 0.7500  2 Co 2.71, 2 Ni 2.71, 3 Zr 2.98-3.03
Zr 0.8341 0.3341 0.7500  2 Co 2.71, 2 Ni 2.71, 3 Zr 2.98-3.03
Zr 0.8341 0.6659 0.2500  2 Co 2.71, 2 Ni 2.71, 3 Zr 2.98-3.03
Co 0.0000 0.0000 0.5000  2 Ni 2.62, 8 Zr 2.71
Co 0.5000 0.5000 0.0000  2 Ni 2.62, 8 Zr 2.71
Ni 0.0000 0.0000 0.0000  2 Co 2.62, 8 Zr 2.71
Ni 0.5000 0.5000 0.5000  2 Co 2.62, 8 Zr 2.71

VASP energy	-26.3273	eV per atom
energy of formation from the pure elements	-0.28	eV/atom
DOS at the Fermi energy	1.1667	states/eV per atom
symmetry	I422, No. 97
size of the total moment	0.00	μB per formula unit

=====

A PBEsol-optimized structure of MgTl, computed with meta-GGA SCAN.

Cell: 11.4093 3.4621 5.1362 Å, 90.00 108.87 90.00°
Last column: nearest neighbours and their distance in Å.
Positions (direct):
Mg 0.1250 0.0000 0.3084  7 Tl 3.09-3.19, 2 Mg 3.37
Mg 0.3750 0.5000 0.6916  7 Tl 3.09-3.19, 2 Mg 3.37
Mg 0.6250 0.5000 0.3084  7 Tl 3.09-3.19, 2 Mg 3.37
Mg 0.8750 0.0000 0.6916  7 Tl 3.09-3.19, 2 Mg 3.37
Tl 0.1220 0.5000 0.8076  7 Mg 3.09-3.19, 2 Tl 3.42
Tl 0.3780 0.0000 0.1924  7 Mg 3.09-3.19, 2 Tl 3.42
Tl 0.6220 0.0000 0.8076  7 Mg 3.09-3.19, 2 Tl 3.42
Tl 0.8780 0.5000 0.1924  7 Mg 3.09-3.19, 2 Tl 3.42

VASP energy	-38.7797	eV per atom
energy of formation from the pure elements	-0.11	eV/atom
DOS at the Fermi energy	0.3326	states/eV per atom
symmetry	C2/m, No. 12
size of the total moment	0.00	μB per formula unit

=====

A PBEsol-optimized structure of AgIrI2O, computed with meta-GGA SCAN.

Cell: 5.3979 5.3979 3.7526 Å, 90.00 90.00 90.00°
Last column: nearest neighbours and their distance in Å.
Positions (direct):
Ag 0.0000 0.0000 0.0000  2 O 1.88
Ir 0.5000 0.5000 0.5000  8 I 3.29
I 0.0000 0.5000 0.0000  2 Ag 2.70
I 0.5000 0.0000 0.0000  2 Ag 2.70
O 0.0000 0.0000 0.5000  2 Ag 1.88

VASP energy	-35.2261	eV per atom
raw formation energy	1.21	eV per atom
DOS at the Fermi energy	1.0761	states/eV per atom
energy relative to the lowest polymorph listed for this composition	1211	meV/atom
symmetry	P4/mmm, No. 123
size of the total moment	1.40	μB per formula unit

=====

A PBEsol-optimized structure of AlNiRu, computed with meta-GGA SCAN.

Cell: 2.8528 2.8528 9.0841 Å, 90.00 90.00 90.00°
Last column: nearest neighbours and their distance in Å.
Positions (direct):
Al 0.0000 0.0000 0.0000  4 Ni 2.45, 4 Ru 2.56
Al 0.5000 0.5000 0.5000  4 Ni 2.45, 4 Ru 2.56
Ni 0.0000 0.0000 0.6523  4 Al 2.45, 4 Ru 2.56
Ni 0.5000 0.5000 0.1523  4 Al 2.45, 4 Ru 2.56
Ru 0.0000 0.0000 0.3262  4 Al 2.56, 4 Ni 2.56, 4 Ru 2.85
Ru 0.5000 0.5000 0.8262  4 Al 2.56, 4 Ni 2.56, 4 Ru 2.85

VASP energy	-19.9416	eV per atom
energy of formation from the pure elements	-0.36	eV/atom
DOS at the Fermi energy	1.1226	states/eV per atom
symmetry	I4mm, No. 107
size of the total moment	0.00	μB per formula unit

=====

A PBEsol-optimized structure of CrRu3, computed with meta-GGA SCAN.

Cell: 4.3507 4.3507 4.3507 Å, 90.00 90.00 90.00°
Last column: nearest neighbours and their distance in Å.
Positions (direct):
Cr 0.0000 0.0000 0.0000  6 Ru 2.18
Ru 0.0000 0.0000 0.5000  2 Cr 2.18
Ru 0.0000 0.5000 0.0000  2 Cr 2.18
Ru 0.5000 0.0000 0.0000  2 Cr 2.18

VASP energy	-28.6678	eV per atom
energy of formation from the pure elements	2.05	eV/atom
DOS at the Fermi energy	0.8994	states/eV per atom
symmetry	Pm-3m, No. 221
size of the total moment	3.49	μB per formula unit

=====

A PBEsol-optimized structure of TlRh3I, computed with meta-GGA SCAN.

Cell: 4.8012 4.8012 4.8012 Å, 90.00 90.00 90.00°
Last column: nearest neighbours and their distance in Å.
Positions (direct):
Tl 0.0000 0.0000 0.0000  12 Rh 3.39
Rh 0.0000 0.5000 0.5000  2 I 2.40
Rh 0.5000 0.0000 0.5000  2 I 2.40
Rh 0.5000 0.5000 0.0000  2 I 2.40
I 0.5000 0.5000 0.5000  6 Rh 2.40

VASP energy	-41.0575	eV per atom
raw formation energy	1.03	eV per atom
DOS at the Fermi energy	1.8531	states/eV per atom
symmetry	Pm-3m, No. 221
size of the total moment	0.02	μB per formula unit

=====

A PBEsol-optimized structure of AlCd2Re, computed with meta-GGA SCAN.

Cell: 4.2623 2.7615 11.6234 Å, 90.00 90.00 90.00°
Last column: nearest neighbours and their distance in Å.
Positions (direct):
Al 0.0000 0.0000 0.0000  3 Cd 2.62-2.79, 4 Re 2.67, 2 Al 2.76
Al 0.0000 0.5000 0.5000  3 Cd 2.62-2.79, 4 Re 2.67, 2 Al 2.76
Cd 0.0000 0.0000 0.2255  1 Al 2.62, 6 Cd 2.76-2.89
Cd 0.0000 0.5000 0.7255  1 Al 2.62, 6 Cd 2.76-2.89
Cd 0.5000 0.0000 0.8445  6 Cd 2.76-2.89, 2 Al 2.79, 2 Re 2.98
Cd 0.5000 0.5000 0.3445  6 Cd 2.76-2.89, 2 Al 2.79, 2 Re 2.98
Re 0.5000 0.0000 0.5717  4 Al 2.67, 2 Re 2.76, 2 Cd 2.98
Re 0.5000 0.5000 0.0717  4 Al 2.67, 2 Re 2.76, 2 Cd 2.98

VASP energy	-34.6637	eV per atom
energy of formation from the pure elements	0.26	eV/atom
DOS at the Fermi energy	0.3020	states/eV per atom
symmetry	Amm2, No. 38
size of the total moment	0.00	μB per formula unit